# PmPrNdDy3 | the Alexandria database | PBE | optimized geometry
data_PmPrNdDy3
_chemical_formula_sum 'Pm4 Pr4 Nd4 Dy12'
_cell_length_a 20.136
_cell_length_b 5.666
_cell_length_c 7.069
_cell_angle_alpha 90.00
_cell_angle_beta 90.06
_cell_angle_gamma 90.00
_space_group_name_H-M_alt 'C 1 2/m 1'
_space_group_IT_number 12
loop_
_space_group_symop_operation_xyz
'x,y,z'
'-x,-y,-z'
'-x,y,-z'
'x,-y,z'
'x+1/2,y+1/2,z'
'-x+1/2,-y+1/2,-z'
'-x+1/2,y+1/2,-z'
'x+1/2,-y+1/2,z'
loop_
_atom_site_label
_atom_site_type_symbol
_atom_site_fract_x
_atom_site_fract_y
_atom_site_fract_z
_atom_site_occupancy
Pm1 Pm 0.148 0.000 0.462 1
Pr1 Pr 0.147 0.000 0.035 1
Nd1 Nd 0.055 0.500 0.254 1
Dy1 Dy 0.023 0.000 0.747 1
Dy2 Dy 0.165 0.500 0.745 1
Dy3 Dy 0.221 0.500 0.249 1
# **DOS(E_F)**: 1.398 states/eV/atom
# **Crystal system**: monoclinic
# **Energy**: -4.5060 eV per atom
# **Energy relative to the elements**: 0.178 eV/atom

# Pm2Pr2Nd2Dy | the Alexandria database | PBE | optimized geometry
data_Pm2Pr2Nd2Dy
_chemical_formula_sum 'Pm6 Pr6 Nd6 Dy3'
_cell_length_a 5.7819
_cell_length_b 5.7819
_cell_length_c 25.2567
_cell_angle_alpha 90.00
_cell_angle_beta 90.00
_cell_angle_gamma 120.00
_space_group_name_H-M_alt 'R -3 m'
_space_group_IT_number 166
_space_group_name_Hall '-R 3 2"'
loop_
_atom_site_label
_atom_site_type_symbol
_atom_site_fract_x
_atom_site_fract_y
_atom_site_fract_z
_atom_site_occupancy
Pm1 Pm 0.0000 0.0000 0.0874 1
Pr1 Pr 0.0000 0.0000 0.3648 1
Nd1 Nd 0.0000 0.0000 0.2280 1
Dy1 Dy 0.0000 0.0000 0.5000 1
# **DOS(E_F)**: 1.933 states/eV/atom
# **Crystal system**: trigonal
# **Energy**: -4.6196 eV per atom
# **Energy relative to the elements**: 0.123 eV/atom

# Pm2PrNdDy2 | the Alexandria database | PBE | optimized geometry
data_Pm2PrNdDy2
_chemical_formula_sum 'Pm4 Pr2 Nd2 Dy4'
_cell_length_a 6.639
_cell_length_b 18.250
_cell_length_c 3.435
_cell_angle_alpha 90.00
_cell_angle_beta 90.00
_cell_angle_gamma 90.00
_space_group_name_H-M_alt 'P n n m'
_space_group_IT_number 58
loop_
_space_group_symop_operation_xyz
'x,y,z'
'-x,-y,-z'
'-x,-y,z'
'x,y,-z'
'x+1/2,-y+1/2,-z+1/2'
'-x+1/2,y+1/2,z+1/2'
'-x+1/2,y+1/2,-z+1/2'
'x+1/2,-y+1/2,z+1/2'
loop_
_atom_site_label
_atom_site_type_symbol
_atom_site_fract_x
_atom_site_fract_y
_atom_site_fract_z
_atom_site_occupancy
Pm1 Pm 0.221 0.187 0.000 1
Pr1 Pr 0.000 0.000 0.000 1
Nd1 Nd 0.000 0.500 0.000 1
Dy1 Dy 0.219 0.352 0.500 1
# **DOS(E_F)**: 1.762 states/eV/atom
# **Crystal system**: orthorhombic
# **Energy**: -4.4495 eV per atom
# **Energy relative to the elements**: 0.259 eV/atom

# Pm2PrNd6Dy | the Alexandria database | PBE | optimized geometry
data_Pm2PrNd6Dy
_chemical_formula_sum 'Pm8 Pr4 Nd24 Dy4'
_cell_length_a 9.300
_cell_length_b 15.426
_cell_length_c 9.888
_cell_angle_alpha 90.00
_cell_angle_beta 98.15
_cell_angle_gamma 90.00
_space_group_name_H-M_alt 'C 1 2/c 1'
_space_group_IT_number 15
loop_
_space_group_symop_operation_xyz
'x,y,z'
'-x,-y,-z'
'-x,y,-z+1/2'
'x,-y,z+1/2'
'x+1/2,y+1/2,z'
'-x+1/2,-y+1/2,-z'
'-x+1/2,y+1/2,-z+1/2'
'x+1/2,-y+1/2,z+1/2'
loop_
_atom_site_label
_atom_site_type_symbol
_atom_site_fract_x
_atom_site_fract_y
_atom_site_fract_z
_atom_site_occupancy
Pm1 Pm 0.247 0.050 0.044 1
Pr1 Pr 0.000 0.021 0.750 1
Nd1 Nd 0.066 0.185 0.445 1
Nd2 Nd 0.099 0.394 0.619 1
Nd3 Nd 0.209 0.223 0.813 1
Dy1 Dy 0.000 0.409 0.250 1
# **DOS(E_F)**: 1.477 states/eV/atom
# **Crystal system**: monoclinic
# **Energy**: -4.6378 eV per atom
# **Energy relative to the elements**: 0.111 eV/atom

# PmPrNdDy2 | the Alexandria database | PBE | optimized geometry
data_PmPrNdDy2
_chemical_formula_sum 'Pm4 Pr4 Nd4 Dy8'
_cell_length_a 8.495
_cell_length_b 11.717
_cell_length_c 7.191
_cell_angle_alpha 90.00
_cell_angle_beta 90.00
_cell_angle_gamma 90.00
_space_group_name_H-M_alt 'C m c m'
_space_group_IT_number 63
_space_group_name_Hall '-C 2c 2'
loop_
_atom_site_label
_atom_site_type_symbol
_atom_site_fract_x
_atom_site_fract_y
_atom_site_fract_z
_atom_site_occupancy
Pm1 Pm 0.000 0.226 0.250 1
Pr1 Pr 0.000 0.230 0.750 1
Nd1 Nd 0.000 0.498 0.250 1
Dy1 Dy 0.187 0.000 0.000 1
# **DOS(E_F)**: 1.604 states/eV/atom
# **Crystal system**: orthorhombic
# **Energy**: -4.3449 eV per atom
# **Energy relative to the elements**: 0.356 eV/atom

# Pm3Pr2NdDy6 | the Alexandria database | PBE | optimized geometry
data_Pm3Pr2NdDy6
_chemical_formula_sum 'Pm6 Pr4 Nd2 Dy12'
_cell_length_a 6.268
_cell_length_b 10.856
_cell_length_c 11.865
_cell_angle_alpha 90.00
_cell_angle_beta 100.11
_cell_angle_gamma 90.00
_space_group_name_H-M_alt 'C 1 2/m 1'
_space_group_IT_number 12
loop_
_space_group_symop_operation_xyz
'x,y,z'
'-x,-y,-z'
'-x,y,-z'
'x,-y,z'
'x+1/2,y+1/2,z'
'-x+1/2,-y+1/2,-z'
'-x+1/2,y+1/2,-z'
'x+1/2,-y+1/2,z'
loop_
_atom_site_label
_atom_site_type_symbol
_atom_site_fract_x
_atom_site_fract_y
_atom_site_fract_z
_atom_site_occupancy
Pm1 Pm 0.000 0.000 0.000 1
Pm2 Pm 0.000 0.333 0.000 1
Pr1 Pr 0.000 0.167 0.500 1
Nd1 Nd 0.000 0.500 0.500 1
Dy1 Dy 0.249 0.500 0.249 1
Dy2 Dy 0.250 0.167 0.249 1
# **DOS(E_F)**: 1.156 states/eV/atom
# **Crystal system**: monoclinic
# **Energy**: -4.6706 eV per atom
# **Energy relative to the elements**: 0.012 eV/atom

The lowest DOS(E_F) belongs to which entry? Pm3Pr2NdDy6

The lowest energy belongs to which entry? Pm3Pr2NdDy6

Which of these has the highest energy? PmPrNdDy2